No. 1
A plane-wave DFT calculation with PBE-GGA was carried out for crystalline Ta3CoSe at its relaxed geometry.

Cell and atoms, written as CIF:
```
data_Ta3CoSe
_chemical_formula_sum 'Ta3 Co1 Se1'
_symmetry_space_group_name_H-M 'P m -3 m'
_symmetry_Int_Tables_number 221
_symmetry_space_group_name_Hall '-P 4 2 3'
_cell_length_a 4.614
_cell_length_b 4.614
_cell_length_c 4.614
_cell_angle_alpha 90.00
_cell_angle_beta 90.00
_cell_angle_gamma 90.00
loop_
_atom_site_label
_atom_site_fract_x
_atom_site_fract_y
_atom_site_fract_z
_atom_site_occupancy
Ta1 0.000 0.000 0.500 1
Co1 0.000 0.000 0.000 1
Se1 0.500 0.500 0.500 1
```

uncorrected formation energy	0.77	eV per atom
distance to the lowest polymorph of the same formula	0.000	eV/f.u.
final energy	-8.45	eV per atom

=====

No. 2
A plane-wave DFT calculation with PBE-GGA was carried out for crystalline TaCoSe3 at its relaxed geometry.

Cell and atoms, written as CIF:
```
data_TaCoSe3
_chemical_formula_sum 'Ta2 Co2 Se6'
_symmetry_space_group_name_H-M 'P 1 21/m 1'
_symmetry_Int_Tables_number 11
_cell_length_a 7.184
_cell_length_b 3.564
_cell_length_c 8.861
_cell_angle_alpha 90.00
_cell_angle_beta 108.61
_cell_angle_gamma 90.00
loop_
_symmetry_equiv_pos_as_xyz
'x,y,z'
'-x,-y,-z'
'-x,y+1/2,-z'
'x,-y+1/2,z'
loop_
_atom_site_label
_atom_site_fract_x
_atom_site_fract_y
_atom_site_fract_z
_atom_site_occupancy
Ta1 0.230 0.250 0.479 1
Co1 0.375 0.250 0.811 1
Se1 0.032 0.250 0.680 1
Se2 0.332 0.750 0.963 1
Se3 0.402 0.750 0.341 1
```

uncorrected formation energy	-0.33	eV per atom
distance to the lowest polymorph of the same formula	1.017	eV/f.u.
final energy	-6.21	eV per atom

=====

No. 3
A plane-wave DFT calculation with PBE-GGA was carried out for crystalline TaCoSe at its relaxed geometry.

Cell and atoms, written as CIF:
```
data_TaCoSe
_chemical_formula_sum 'Ta2 Co2 Se2'
_symmetry_space_group_name_H-M 'P 1 m 1'
_symmetry_Int_Tables_number 6
_cell_length_a 4.029
_cell_length_b 3.311
_cell_length_c 9.008
_cell_angle_alpha 90.00
_cell_angle_beta 93.83
_cell_angle_gamma 90.00
loop_
_symmetry_equiv_pos_as_xyz
'x,y,z'
'x,-y,z'
loop_
_atom_site_label
_atom_site_fract_x
_atom_site_fract_y
_atom_site_fract_z
_atom_site_occupancy
Ta1 0.000 0.000 0.000 1
Ta2 0.465 0.000 0.736 1
Co1 0.510 0.500 0.939 1
Co2 0.977 0.500 0.766 1
Se1 0.326 0.500 0.184 1
Se2 0.937 0.000 0.554 1
```

uncorrected formation energy	-0.39	eV per atom
distance to the lowest polymorph of the same formula	0.127	eV/f.u.
final energy	-7.87	eV per atom

=====

No. 4
A plane-wave DFT calculation with PBE-GGA was carried out for crystalline TaCoSe at its relaxed geometry.

Cell and atoms, written as CIF:
```
data_TaCoSe
_chemical_formula_sum 'Ta6 Co6 Se6'
_symmetry_space_group_name_H-M 'R -3 m'
_symmetry_Int_Tables_number 166
_symmetry_space_group_name_Hall '-R 3 2"'
_cell_length_a 3.5203
_cell_length_b 3.5203
_cell_length_c 31.9338
_cell_angle_alpha 90.00
_cell_angle_beta 90.00
_cell_angle_gamma 120.00
loop_
_atom_site_label
_atom_site_fract_x
_atom_site_fract_y
_atom_site_fract_z
_atom_site_occupancy
Ta1 0.0000 0.0000 0.0598 1
Co1 0.0000 0.0000 0.3475 1
Se1 0.0000 0.0000 0.2206 1
```

uncorrected formation energy	-0.24	eV per atom
distance to the lowest polymorph of the same formula	0.575	eV/f.u.
final energy	-7.72	eV per atom

=====

No. 5
A plane-wave DFT calculation with PBE-GGA was carried out for crystalline TaCoSe3 at its relaxed geometry.

Cell and atoms, written as CIF:
```
data_TaCoSe3
_chemical_formula_sum 'Ta1 Co1 Se3'
_symmetry_space_group_name_H-M 'P m -3 m'
_symmetry_Int_Tables_number 221
_symmetry_space_group_name_Hall '-P 4 2 3'
_cell_length_a 5.023
_cell_length_b 5.023
_cell_length_c 5.023
_cell_angle_alpha 90.00
_cell_angle_beta 90.00
_cell_angle_gamma 90.00
loop_
_atom_site_label
_atom_site_fract_x
_atom_site_fract_y
_atom_site_fract_z
_atom_site_occupancy
Ta1 0.000 0.000 0.000 1
Co1 0.500 0.500 0.500 1
Se1 0.000 0.000 0.500 1
```

uncorrected formation energy	0.48	eV per atom
distance to the lowest polymorph of the same formula	5.059	eV/f.u.
final energy	-5.40	eV per atom

=====

No. 6
A plane-wave DFT calculation with PBE-GGA was carried out for crystalline TaCoSe at its relaxed geometry.

Cell and atoms, written as CIF:
```
data_TaCoSe
_chemical_formula_sum 'Ta4 Co4 Se4'
_symmetry_space_group_name_H-M 'F -4 3 m'
_symmetry_Int_Tables_number 216
_symmetry_space_group_name_Hall 'F -4 2 3'
_cell_length_a 5.828
_cell_length_b 5.828
_cell_length_c 5.828
_cell_angle_alpha 90.00
_cell_angle_beta 90.00
_cell_angle_gamma 90.00
loop_
_atom_site_label
_atom_site_fract_x
_atom_site_fract_y
_atom_site_fract_z
_atom_site_occupancy
Ta1 0.000 0.000 0.000 1
Co1 0.250 0.250 0.750 1
Se1 0.000 0.000 0.500 1
```

uncorrected formation energy	0.18	eV per atom
distance to the lowest polymorph of the same formula	1.838	eV/f.u.
final energy	-7.30	eV per atom

=====

No. 7
A plane-wave DFT calculation with PBE-GGA was carried out for crystalline TaCoSe at its relaxed geometry.

Cell and atoms, written as CIF:
```
data_TaCoSe
_chemical_formula_sum 'Ta4 Co4 Se4'
_symmetry_space_group_name_H-M 'C 1 2/m 1'
_symmetry_Int_Tables_number 12
_cell_length_a 18.773
_cell_length_b 3.217
_cell_length_c 4.003
_cell_angle_alpha 90.00
_cell_angle_beta 97.94
_cell_angle_gamma 90.00
loop_
_symmetry_equiv_pos_as_xyz
'x,y,z'
'-x,-y,-z'
'-x,y,-z'
'x,-y,z'
'x+1/2,y+1/2,z'
'-x+1/2,-y+1/2,-z'
'-x+1/2,y+1/2,-z'
'x+1/2,-y+1/2,z'
loop_
_atom_site_label
_atom_site_fract_x
_atom_site_fract_y
_atom_site_fract_z
_atom_site_occupancy
Ta1 0.068 0.000 0.292 1
Co1 0.041 0.500 0.787 1
Se1 0.160 0.500 0.653 1
```

uncorrected formation energy	-0.35	eV per atom
distance to the lowest polymorph of the same formula	0.253	eV/f.u.
final energy	-7.83	eV per atom

=====

No. 8
A plane-wave DFT calculation with PBE-GGA was carried out for crystalline Ta2Tl2CoSe6 at its relaxed geometry.

Cell and atoms, written as CIF:
```
data_Ta2Tl2CoSe6
_chemical_formula_sum 'Ta4 Tl4 Co2 Se12'
_symmetry_space_group_name_H-M 'C 1 2/m 1'
_symmetry_Int_Tables_number 12
_cell_length_a 6.156
_cell_length_b 10.955
_cell_length_c 8.432
_cell_angle_alpha 90.00
_cell_angle_beta 102.38
_cell_angle_gamma 90.00
loop_
_symmetry_equiv_pos_as_xyz
'x,y,z'
'-x,-y,-z'
'-x,y,-z'
'x,-y,z'
'x+1/2,y+1/2,z'
'-x+1/2,-y+1/2,-z'
'-x+1/2,y+1/2,-z'
'x+1/2,-y+1/2,z'
loop_
_atom_site_label
_atom_site_fract_x
_atom_site_fract_y
_atom_site_fract_z
_atom_site_occupancy
Ta1 0.000 0.139 0.000 1
Tl1 0.000 0.315 0.500 1
Co1 0.000 0.500 0.000 1
Se1 0.206 0.333 0.173 1
Se2 0.247 0.500 0.795 1
```

uncorrected formation energy	-0.49	eV per atom
final energy	-5.62	eV per atom